Record 1
Crystalline Na3ErTh2Te6 at its relaxed geometry. Source: Alexandria, functional PBE.

Lattice parameters (Å, degrees): 7.608 13.173 8.161 90.00 108.13 90.00
Space group C2/m (No. 12)
Asymmetric unit:
Na: 0.000 0.000 0.000 x2
Na: 0.000 0.330 0.000 x4
Er: 0.000 0.500 0.500 x2
Th: 0.000 0.166 0.500 x4
Te: 0.243 0.337 0.740 x8
Te: 0.245 0.500 0.259 x4

- Energy relative to the elements, uncorrected: -1.154 eV/atom
- D(E_F): 0.53 states/eV/atom

=====

Record 2
Crystalline Na2ErTh2Te6 at its relaxed geometry. Source: Alexandria, functional PBE.

Lattice parameters (Å, degrees): 7.650 13.241 8.109 90.00 108.56 90.00
Space group C2/m (No. 12)
Asymmetric unit:
Na: 0.000 0.169 0.000 x4
Er: 0.000 0.000 0.500 x2
Th: 0.000 0.333 0.500 x4
Te: 0.245 0.162 0.738 x8
Te: 0.248 0.000 0.263 x4

- Energy relative to the elements, uncorrected: -1.188 eV/atom
- D(E_F): 0.44 states/eV/atom

=====

Record 3
Crystalline Na3ErTh3Te8 at its relaxed geometry. Source: Alexandria, functional PBE.

Lattice parameters (Å, degrees): 8.8136 8.8136 23.3354 90.00 90.00 120.00
Space group R-3m (No. 166, hexagonal axes)
Asymmetric unit:
Na: 0.0000 0.5000 0.0000 x9
Er: 0.0000 0.0000 0.5000 x3
Th: 0.0000 0.5000 0.5000 x9
Te: 0.0000 0.0000 0.2489 x6
Te: 0.0052 0.5026 0.2453 x18

- Energy relative to the elements, uncorrected: -1.164 eV/atom
- D(E_F): 0.55 states/eV/atom

=====

Number 1: DFT total energy -112.12 eV/cell. Number 2: DFT total energy -107.93 eV/cell. Number 3: DFT total energy -220.10 eV/cell.